This record from Alexandria describes an optimized crystal structure of Sr4AsPtI2. The functional is PBE.

Unit cell a=7.871 b=4.538 c=8.458 alpha=90.00 beta=107.72 gamma=90.00
Sites, in units of the cell vectors:
Sr 0.232 0.000 0.201
Sr 0.261 0.500 0.805
Sr 0.739 0.500 0.195
Sr 0.768 0.000 0.799
As 0.500 0.000 0.000
Pt 0.000 0.500 0.000
I 0.000 0.000 0.500
I 0.500 0.500 0.500

Calculated values
* energy relative to the elements, uncorrected: -1250.7 meV per atom
* crystal system: monoclinic
* calculated density: 5.0 g cm⁻³
* DOS(E_F): 2.743 states/eV per cell

---

This record from Alexandria describes an optimized crystal structure of La3Pm2Ho. The functional is PBE.

Unit cell a=10.390 b=3.679 c=11.021 alpha=90.00 beta=90.35 gamma=90.00
Sites, in units of the cell vectors:
La 0.123 0.250 0.416
La 0.371 0.750 0.915
La 0.376 0.750 0.250
La 0.624 0.250 0.750
La 0.629 0.250 0.085
La 0.877 0.750 0.584
Pm 0.121 0.250 0.083
Pm 0.372 0.750 0.584
Pm 0.628 0.250 0.416
Pm 0.879 0.750 0.917
Ho 0.124 0.250 0.750
Ho 0.876 0.750 0.250

Calculated values
* crystal system: monoclinic
* energy relative to the elements: 0.02 eV per atom
* calculated density: 6.9 g cm⁻³
* DOS(E_F): 20.521 states/eV per cell
* excess energy over the best structure of this formula in the dataset: 0 meV per atom

---

This record from Alexandria describes an optimized crystal structure of Nd12Y3Mg. The functional is PBE.

Unit cell a=5.130 b=5.130 c=20.641 alpha=90.00 beta=90.00 gamma=90.00
Sites, in units of the cell vectors:
Nd 0.000 0.000 0.000
Nd 0.000 0.000 0.247
Nd 0.000 0.000 0.500
Nd 0.000 0.000 0.753
Nd 0.000 0.500 0.123
Nd 0.000 0.500 0.374
Nd 0.000 0.500 0.626
Nd 0.000 0.500 0.877
Nd 0.500 0.000 0.123
Nd 0.500 0.000 0.374
Nd 0.500 0.000 0.626
Nd 0.500 0.000 0.877
Y 0.500 0.500 0.248
Y 0.500 0.500 0.500
Y 0.500 0.500 0.752
Mg 0.500 0.500 0.000

Calculated values
* crystal system: tetragonal
* energy relative to the elements: 0.01 eV per atom
* calculated density: 6.2 g cm⁻³
* DOS(E_F): 23.044 states/eV per cell

---

This record from Alexandria describes an optimized crystal structure of MgAg2I4. The functional is PBE.

Unit cell a=6.587 b=6.587 c=6.273 alpha=90.00 beta=90.00 gamma=90.00
Sites, in units of the cell vectors:
Mg 0.000 0.000 0.000
Ag 0.000 0.500 0.500
Ag 0.500 0.000 0.500
I 0.253 0.253 0.233
I 0.253 0.747 0.767
I 0.747 0.253 0.767
I 0.747 0.747 0.233

Calculated values
* energy relative to the elements, uncorrected: -577.0 meV per atom
* crystal system: tetragonal
* calculated density: 4.6 g cm⁻³
* DOS(E_F): 0.000 states/eV per cell

---

This record from Alexandria describes an optimized crystal structure of Pu2PRh. The functional is PBE.

Unit cell a=3.543 b=3.543 c=4.970 alpha=90.00 beta=90.00 gamma=90.00
Sites, in units of the cell vectors:
Pu 0.000 0.500 0.000
Pu 0.500 0.000 0.000
P 0.000 0.000 0.500
Rh 0.500 0.500 0.500

Calculated values
* crystal system: tetragonal
* energy relative to the elements: -0.18 eV per atom
* calculated density: 16.6 g cm⁻³
* DOS(E_F): 6.698 states/eV per cell
* excess energy over the best structure of this formula in the dataset: 525 meV per atom

---

This record from Alexandria describes an optimized crystal structure of ReSb2Br2. The functional is PBE.

Unit cell a=7.404 b=7.404 c=5.608 alpha=90.00 beta=90.00 gamma=90.00
Sites, in units of the cell vectors:
Re 0.000 0.000 0.000
Re 0.500 0.500 0.000
Sb 0.243 0.257 0.000
Sb 0.257 0.757 0.000
Sb 0.743 0.243 0.000
Sb 0.757 0.743 0.000
Br 0.179 0.321 0.500
Br 0.321 0.821 0.500
Br 0.679 0.179 0.500
Br 0.821 0.679 0.500

Calculated values
* energy relative to the elements, uncorrected: 566.1 meV per atom
* crystal system: tetragonal
* calculated density: 6.4 g cm⁻³
* DOS(E_F): 8.070 states/eV per cell
* excess energy over the best structure of this formula in the dataset: 0 meV per atom